Compound: K3LaO
Source: Alexandria
Functional: GGA-PBE
Structure: optimized geometry

Calculated values
D(E_F), states/eV per cell: 20.725
Formation energy without anion corrections, eV per atom: 1.107
Calculated volume, Å³ per cell: 374.9

a b c (Å): 7.211 7.211 7.211
angles (deg): 90.00 90.00 90.00
Atoms (fractional coordinates):
La1 0.000 0.000 0.000
O1 0.500 0.500 0.500
K1 0.000 0.000 0.500
K2 0.000 0.500 0.000
K3 0.500 0.000 0.000